Here is crystalline Ce2PmGa2Au2 at its relaxed geometry from Alexandria via LeMat-Bulk. Energies are from PBE.

Lattice parameters (Å, degrees): 4.484 4.484 9.475 76.31 76.31 60.00
Last column: magnetic moment on the atom in μB.
Element x y z (fractional)
Pm  0.000  0.000  0.000  0.00
Au  0.595  0.595  0.214  -0.01
Ga  0.741  0.741  0.777  -0.01
Ga  0.259  0.259  0.223  -0.01
Au  0.405  0.405  0.786  -0.01
Ce  0.140  0.140  0.579  0.44
Ce  0.860  0.860  0.421  0.44

Properties
total magnetic moment = 0.91 μB per cell
formation energy = -0.620 eV/atom
E = -4.795 eV/atom
SG = No. 166



Here is crystalline CePmGaAu at its relaxed geometry from Alexandria via LeMat-Bulk. Energies are from PBE.

Lattice parameters (Å, degrees): 5.228 5.228 5.228 60.00 60.00 60.00
Last column: magnetic moment on the atom in μB.
Element x y z (fractional)
Ga  0.750  0.750  0.750  -0.01
Au  0.250  0.250  0.250  0.03
Pm  0.500  0.500  0.500  0.15
Ce  0.000  0.000  0.000  0.83

Properties
total magnetic moment = 1.33 μB per cell
formation energy = -0.546 eV/atom
E = -4.793 eV/atom
SG = No. 216



Here is crystalline CePrGaAu at its relaxed geometry from Alexandria via LeMat-Bulk. Energies are from PBE.

Lattice parameters (Å, degrees): 5.267 5.267 5.267 60.00 60.00 60.00
Last column: magnetic moment on the atom in μB.
Element x y z (fractional)
Pr  0.500  0.500  0.500  0.16
Ga  0.250  0.250  0.250  -0.01
Ce  0.000  0.000  0.000  0.86
Au  0.750  0.750  0.750  0.03

Properties
total magnetic moment = 1.38 μB per cell
formation energy = -0.529 eV/atom
E = -4.784 eV/atom
SG = No. 216